No. 1
# Th3BeSi2 PBE optimized geometry
data_Th3BeSi2
_cell_length_a 11.831
_cell_length_b 4.007
_cell_length_c 11.754
_cell_angle_alpha 90.00
_cell_angle_beta 90.00
_cell_angle_gamma 90.00
_symmetry_space_group_name_H-M 'P 1'
_symmetry_Int_Tables_number 1
loop_
_symmetry_equiv_pos_as_xyz
'x,y,z'
loop_
_atom_site_label
_atom_site_type_symbol
_atom_site_fract_x
_atom_site_fract_y
_atom_site_fract_z
Th1 Th 0.061 0.250 0.119
Th2 Th 0.113 0.750 0.559
Th3 Th 0.203 0.250 0.782
Th4 Th 0.297 0.750 0.282
Th5 Th 0.387 0.250 0.059
Th6 Th 0.439 0.750 0.619
Th7 Th 0.561 0.250 0.381
Th8 Th 0.613 0.750 0.941
Th9 Th 0.703 0.250 0.718
Th10 Th 0.797 0.750 0.218
Th11 Th 0.887 0.250 0.441
Th12 Th 0.939 0.750 0.881
Be1 Be 0.133 0.250 0.370
Be2 Be 0.367 0.750 0.870
Be3 Be 0.633 0.250 0.130
Be4 Be 0.867 0.750 0.630
Si1 Si 0.042 0.750 0.314
Si2 Si 0.202 0.750 0.980
Si3 Si 0.298 0.250 0.480
Si4 Si 0.458 0.250 0.814
Si5 Si 0.542 0.750 0.186
Si6 Si 0.702 0.750 0.520
Si7 Si 0.798 0.250 0.020
Si8 Si 0.958 0.250 0.686
# ΔE_f (raw): -0.525 eV/atom



No. 2
# Th2BeSi3 PBE optimized geometry
data_Th2BeSi3
_cell_length_a 8.125
_cell_length_b 7.981
_cell_length_c 5.845
_cell_angle_alpha 70.04
_cell_angle_beta 67.42
_cell_angle_gamma 42.54
_symmetry_space_group_name_H-M 'P 1'
_symmetry_Int_Tables_number 1
loop_
_symmetry_equiv_pos_as_xyz
'x,y,z'
loop_
_atom_site_label
_atom_site_type_symbol
_atom_site_fract_x
_atom_site_fract_y
_atom_site_fract_z
Th1 Th 0.247 0.753 0.247
Th2 Th 0.250 0.250 0.250
Th3 Th 0.750 0.750 0.750
Th4 Th 0.753 0.247 0.753
Be1 Be 0.333 0.333 0.667
Be2 Be 0.667 0.667 0.333
Si1 Si 0.173 0.653 0.827
Si2 Si 0.174 0.174 0.826
Si3 Si 0.347 0.827 0.653
Si4 Si 0.653 0.173 0.347
Si5 Si 0.826 0.826 0.174
Si6 Si 0.827 0.347 0.173
# ΔE_f (raw): -0.634 eV/atom
# relative energy among the computed polymorphs: 0.0 meV/atom



No. 3
# Th2BeSi3 PBE optimized geometry
data_Th2BeSi3
_cell_length_a 3.977
_cell_length_b 4.279
_cell_length_c 6.940
_cell_angle_alpha 90.00
_cell_angle_beta 90.00
_cell_angle_gamma 90.00
_symmetry_space_group_name_H-M 'P 1'
_symmetry_Int_Tables_number 1
loop_
_symmetry_equiv_pos_as_xyz
'x,y,z'
loop_
_atom_site_label
_atom_site_type_symbol
_atom_site_fract_x
_atom_site_fract_y
_atom_site_fract_z
Th1 Th 0.000 0.000 0.000
Th2 Th 0.500 0.000 0.497
Be1 Be 0.000 0.500 0.670
Si1 Si 0.000 0.500 0.351
Si2 Si 0.500 0.500 0.163
Si3 Si 0.500 0.500 0.817
# ΔE_f (raw): -0.626 eV/atom
# relative energy among the computed polymorphs: 7.5 meV/atom



No. 4
# Th3Be2Si4 PBE optimized geometry
data_Th3Be2Si4
_cell_length_a 5.834
_cell_length_b 5.834
_cell_length_c 8.088
_cell_angle_alpha 96.12
_cell_angle_beta 96.12
_cell_angle_gamma 39.64
_symmetry_space_group_name_H-M 'P 1'
_symmetry_Int_Tables_number 1
loop_
_symmetry_equiv_pos_as_xyz
'x,y,z'
loop_
_atom_site_label
_atom_site_type_symbol
_atom_site_fract_x
_atom_site_fract_y
_atom_site_fract_z
Th1 Th 0.000 0.000 0.000
Th2 Th 0.335 0.335 0.334
Th3 Th 0.665 0.665 0.666
Be1 Be 0.390 0.390 0.719
Be2 Be 0.610 0.610 0.281
Si1 Si 0.060 0.060 0.383
Si2 Si 0.282 0.282 0.935
Si3 Si 0.718 0.718 0.065
Si4 Si 0.940 0.940 0.617
# ΔE_f (raw): -0.648 eV/atom



No. 5
# TmThBe2Si2 PBE optimized geometry
data_TmThBe2Si2
_cell_length_a 3.889
_cell_length_b 3.889
_cell_length_c 8.196
_cell_angle_alpha 90.00
_cell_angle_beta 90.00
_cell_angle_gamma 120.00
_symmetry_space_group_name_H-M 'P 1'
_symmetry_Int_Tables_number 1
loop_
_symmetry_equiv_pos_as_xyz
'x,y,z'
loop_
_atom_site_label
_atom_site_type_symbol
_atom_site_fract_x
_atom_site_fract_y
_atom_site_fract_z
Tm1 Tm 0.000 0.000 0.000
Th1 Th 0.000 0.000 0.500
Be1 Be 0.333 0.667 0.239
Be2 Be 0.667 0.333 0.761
Si1 Si 0.333 0.667 0.763
Si2 Si 0.667 0.333 0.237
# ΔE_f (raw): -0.643 eV/atom



No. 6
# TiBe3Si PBE optimized geometry
data_TiBe3Si
_cell_length_a 4.064
_cell_length_b 4.064
_cell_length_c 4.064
_cell_angle_alpha 90.00
_cell_angle_beta 90.00
_cell_angle_gamma 90.00
_symmetry_space_group_name_H-M 'P 1'
_symmetry_Int_Tables_number 1
loop_
_symmetry_equiv_pos_as_xyz
'x,y,z'
loop_
_atom_site_label
_atom_site_type_symbol
_atom_site_fract_x
_atom_site_fract_y
_atom_site_fract_z
Ti1 Ti 0.000 0.000 0.000
Be1 Be 0.000 0.500 0.500
Be2 Be 0.500 0.000 0.500
Be3 Be 0.500 0.500 0.000
Si1 Si 0.500 0.500 0.500
# ΔE_f (raw): 0.758 eV/atom
# relative energy among the computed polymorphs: 0.0 meV/atom



No. 7
# Ti3Be2Si3 PBE optimized geometry
data_Ti3Be2Si3
_cell_length_a 4.942
_cell_length_b 4.942
_cell_length_c 12.601
_cell_angle_alpha 90.00
_cell_angle_beta 90.00
_cell_angle_gamma 137.19
_symmetry_space_group_name_H-M 'P 1'
_symmetry_Int_Tables_number 1
loop_
_symmetry_equiv_pos_as_xyz
'x,y,z'
loop_
_atom_site_label
_atom_site_type_symbol
_atom_site_fract_x
_atom_site_fract_y
_atom_site_fract_z
Ti1 Ti 0.065 0.935 0.612
Ti2 Ti 0.065 0.935 0.888
Ti3 Ti 0.354 0.646 0.750
Ti4 Ti 0.646 0.354 0.250
Ti5 Ti 0.935 0.065 0.112
Ti6 Ti 0.935 0.065 0.388
Be1 Be 0.220 0.780 0.111
Be2 Be 0.220 0.780 0.389
Be3 Be 0.780 0.220 0.611
Be4 Be 0.780 0.220 0.889
Si1 Si 0.364 0.636 0.250
Si2 Si 0.377 0.623 0.542
Si3 Si 0.377 0.623 0.958
Si4 Si 0.623 0.377 0.042
Si5 Si 0.623 0.377 0.458
Si6 Si 0.636 0.364 0.750
# ΔE_f (raw): -0.601 eV/atom



No. 8
# TiBe3Si PBE optimized geometry
data_TiBe3Si
_cell_length_a 4.437
_cell_length_b 4.437
_cell_length_c 4.437
_cell_angle_alpha 90.00
_cell_angle_beta 90.00
_cell_angle_gamma 90.00
_symmetry_space_group_name_H-M 'P 1'
_symmetry_Int_Tables_number 1
loop_
_symmetry_equiv_pos_as_xyz
'x,y,z'
loop_
_atom_site_label
_atom_site_type_symbol
_atom_site_fract_x
_atom_site_fract_y
_atom_site_fract_z
Ti1 Ti 0.000 0.000 0.000
Be1 Be 0.000 0.000 0.500
Be2 Be 0.000 0.500 0.000
Be3 Be 0.500 0.000 0.000
Si1 Si 0.500 0.500 0.500
# ΔE_f (raw): 1.755 eV/atom
# relative energy among the computed polymorphs: 996.5 meV/atom